Entry 1:
Computed, not measured: a relaxed CaFeN2O crystal at the GGA+U level of DFT.

* density: 4.01 Mg/m³
* SG: No. 123
* M_tot: 2.56 μB per cell
* E: -6.035 eV/atom
* N(E_F): 2.90 states/eV/f.u.

abc: 3.794 3.794 4.023
angles: 90.00 90.00 90.00
Element x y z (fractional)
Ca (0.000, 0.000, 0.000)
Fe (0.500, 0.500, 0.500)
N (0.000, 0.500, 0.500)
N (0.500, 0.000, 0.500)
O (0.500, 0.500, 0.000)


Entry 2:
Computed, not measured: a relaxed CaFeN2O crystal at the GGA+U level of DFT.

* density: 2.94 Mg/m³
* SG: No. 123
* M_tot: 1.32 μB per cell
* E: -3.897 eV/atom
* N(E_F): 6.86 states/eV/f.u.

abc: 4.346 4.346 4.186
angles: 90.00 90.00 90.00
Element x y z (fractional)
Ca (0.000, 0.000, 0.000)
Fe (0.500, 0.500, 0.500)
N (0.000, 0.500, 0.000)
N (0.500, 0.000, 0.000)
O (0.000, 0.000, 0.500)


Look up the E of the second one. -3.897 eV/atom